[1]
The following is a DFT calculation (PBE) of crystalline LiHo2Pb3Se6 at its relaxed geometry.

Calculated values
Its total energy is -4.671 eV per atom. The calculation puts the density of states at the Fermi level at 3.08 states/eV/cell. The value obtained for the total magnetization is 0.00 μB/f.u. The uncorrected formation energy comes out at -104 kJ per mole of atoms. As for the symmetry: No. 12.

Cell: 4.1040 9.0676 9.5174 Å, 108.14 102.45 90.00°
With the nearest neighbours (Å) after each atom.
Sites, in units of the cell vectors:
Se: 0.9991 0.2443 0.9981  1 Ho 2.80, 3 Pb 3.01-3.09, 2 Li 3.02
Se: 0.0009 0.7557 0.0019  1 Ho 2.80, 3 Pb 3.01-3.09, 2 Li 3.02
Se: 0.6529 0.1162 0.3058  1 Li 2.70, 2 Ho 2.83
Se: 0.3252 0.4324 0.6503  3 Ho 2.89-2.95, 1 Pb 3.11
Se: 0.3471 0.8838 0.6942  1 Li 2.70, 2 Ho 2.83
Se: 0.6748 0.5676 0.3497  3 Ho 2.89-2.95, 1 Pb 3.11
Li: 0.5000 0.0000 0.0000  2 Se 2.70
Pb: 0.8281 0.1414 0.6563  6 Se 3.01-3.36
Pb: 0.5000 0.5000 0.0000  6 Se 3.09-3.11
Pb: 0.1719 0.8586 0.3437  6 Se 3.01-3.36
Ho: 0.1576 0.3346 0.3152  6 Se 2.80-2.95
Ho: 0.8424 0.6654 0.6848  6 Se 2.80-2.95

=====

[2]
The following is a DFT calculation (PBE) of crystalline Li2TbHo2Pb2 at its relaxed geometry.

Calculated values
Its total energy is -3.878 eV per atom. The calculation puts the density of states at the Fermi level at 4.42 states/eV/cell. For the energy of formation, the calculation gives -2.1 eV per formula unit. The value obtained for the total magnetization is 0.00 μB/f.u. As for the symmetry: No. 166.

Cell: 4.8360 4.8360 9.2972 Å, 74.93 74.93 60.00°
With the nearest neighbours (Å) after each atom.
Sites, in units of the cell vectors:
Ho: 0.8706 0.8706 0.3881  3 Li 3.18, 3 Pb 3.21, 3 Ho 3.43, 1 Tb 3.44
Ho: 0.1294 0.1294 0.6119  3 Li 3.18, 3 Pb 3.21, 3 Ho 3.43, 1 Tb 3.44
Li: 0.4056 0.4056 0.7832  3 Pb 2.79
Li: 0.5944 0.5944 0.2168  3 Pb 2.79
Tb: 0.0000 0.0000 0.0000  6 Pb 3.35, 6 Li 3.39, 2 Ho 3.44
Pb: 0.2637 0.2637 0.2089  3 Li 2.79
Pb: 0.7363 0.7363 0.7911  3 Li 2.79

=====

[3]
The following is a DFT calculation (PBE) of crystalline LiHo2Te6Pb3 at its relaxed geometry.

Calculated values
Its total energy is -4.201 eV per atom. The calculation puts the density of states at the Fermi level at 4.21 states/eV/cell. The value obtained for the total magnetization is 0.00 μB/f.u. The uncorrected formation energy comes out at -75 kJ per mole of atoms. As for the symmetry: No. 12.

Cell: 4.4407 9.1594 10.1526 Å, 104.68 102.63 90.00°
With the nearest neighbours (Å) after each atom.
Sites, in units of the cell vectors:
Te: 0.3281 0.4205 0.6563  3 Ho 3.10-3.12, 3 Pb 3.29-3.35
Te: 0.0065 0.2387 0.0131  1 Ho 3.04, 2 Li 3.10, 3 Pb 3.19-3.29
Te: 0.6676 0.1053 0.3352  2 Ho 3.10, 1 Li 3.21, 3 Pb 3.23-3.33
Te: 0.6719 0.5795 0.3437  3 Ho 3.10-3.12, 3 Pb 3.29-3.35
Te: 0.9935 0.7613 0.9869  1 Ho 3.04, 2 Li 3.10, 3 Pb 3.19-3.29
Te: 0.3324 0.8947 0.6648  2 Ho 3.10, 1 Li 3.21, 3 Pb 3.23-3.33
Ho: 0.8347 0.6599 0.6694  6 Te 3.04-3.12
Ho: 0.1653 0.3401 0.3306  6 Te 3.04-3.12
Pb: 0.8399 0.1543 0.6799  6 Te 3.19-3.35
Pb: 0.5000 0.5000 0.0000  6 Te 3.29
Pb: 0.1601 0.8457 0.3201  6 Te 3.19-3.35
Li: 0.5000 0.0000 0.0000  6 Te 3.10-3.21

=====

[4]
The following is a DFT calculation (PBE) of crystalline LiHoTlPb at its relaxed geometry.

Calculated values
Its total energy is -3.445 eV per atom. The calculation puts the density of states at the Fermi level at 1.65 states/eV/cell. For the energy of formation, the calculation gives -1.2 eV per formula unit. The value obtained for the total magnetization is 0.00 μB/f.u. The value obtained for the energy above the lowest structure with this stoichiometry is 36 meV/atom. As for the symmetry: No. 216.

Cell: 5.2429 5.2429 5.2429 Å, 60.00 60.00 60.00°
With the nearest neighbours (Å) after each atom.
Sites, in units of the cell vectors:
Tl: 0.2500 0.2500 0.2500  4 Ho 3.21, 4 Li 3.21
Ho: 0.5000 0.5000 0.5000  4 Tl 3.21, 4 Pb 3.21
Pb: 0.7500 0.7500 0.7500  4 Li 3.21, 4 Ho 3.21
Li: 0.0000 0.0000 0.0000  4 Tl 3.21, 4 Pb 3.21

=====

[5]
The following is a DFT calculation (PBE) of crystalline LiHoTlPb at its relaxed geometry.

Calculated values
Its total energy is -3.481 eV per atom. The calculation puts the density of states at the Fermi level at 2.31 states/eV/cell. For the energy of formation, the calculation gives -1.4 eV per formula unit. The value obtained for the total magnetization is 0.00 μB/f.u. The value obtained for the energy above the lowest structure with this stoichiometry is 0 meV/atom. As for the symmetry: No. 47.

Cell: 4.2255 4.7932 4.9768 Å, 90.00 90.00 90.00°
With the nearest neighbours (Å) after each atom.
Sites, in units of the cell vectors:
Tl: 0.5000 0.5000 0.0000  4 Li 3.19, 4 Ho 3.26, 4 Pb 3.45
Li: 0.0000 0.0000 0.0000  4 Tl 3.19, 4 Pb 3.26, 4 Ho 3.45
Ho: 0.0000 0.5000 0.5000  4 Pb 3.19, 4 Tl 3.26, 4 Li 3.45
Pb: 0.5000 0.0000 0.5000  4 Ho 3.19, 4 Li 3.26, 4 Tl 3.45

=====

[6]
The following is a DFT calculation (PBE) of crystalline Li2HoTm2Pb2 at its relaxed geometry.

Calculated values
Its total energy is -3.815 eV per atom. The calculation puts the density of states at the Fermi level at 4.40 states/eV/cell. For the energy of formation, the calculation gives -1.9 eV per formula unit. The value obtained for the total magnetization is 0.00 μB/f.u. As for the symmetry: No. 166.

Cell: 4.8265 4.8265 9.1625 Å, 74.73 74.73 60.00°
With the nearest neighbours (Å) after each atom.
Sites, in units of the cell vectors:
Tm: 0.8704 0.8704 0.3887  3 Li 3.16, 4 Pb 3.20-3.51, 1 Ho 3.39, 3 Tm 3.40
Tm: 0.1296 0.1296 0.6113  3 Li 3.16, 4 Pb 3.20-3.51, 1 Ho 3.39, 3 Tm 3.40
Pb: 0.2638 0.2638 0.2086  3 Li 2.79
Pb: 0.7362 0.7362 0.7914  3 Li 2.79
Li: 0.5937 0.5937 0.2188  3 Pb 2.79
Li: 0.4063 0.4063 0.7812  3 Pb 2.79
Ho: 0.0000 0.0000 0.0000  6 Pb 3.33, 6 Li 3.38, 2 Tm 3.39

=====

[7]
The following is a DFT calculation (PBE) of crystalline LiHoTmPb at its relaxed geometry.

Calculated values
Its total energy is -3.897 eV per atom. The calculation puts the density of states at the Fermi level at 3.87 states/eV/cell. For the energy of formation, the calculation gives -0.9 eV per formula unit. The value obtained for the total magnetization is 0.00 μB/f.u. As for the symmetry: No. 216.

Cell: 5.2451 5.2451 5.2451 Å, 60.00 60.00 60.00°
With the nearest neighbours (Å) after each atom.
Sites, in units of the cell vectors:
Ho: 0.7500 0.7500 0.7500  4 Pb 3.21, 4 Li 3.21
Li: 0.0000 0.0000 0.0000  4 Ho 3.21, 4 Tm 3.21
Pb: 0.5000 0.5000 0.5000  4 Tm 3.21, 4 Ho 3.21
Tm: 0.2500 0.2500 0.2500  4 Li 3.21, 4 Pb 3.21

=====

[8]
The following is a DFT calculation (PBE) of crystalline LiYHoPb at its relaxed geometry.

Calculated values
Its total energy is -4.443 eV per atom. The calculation puts the density of states at the Fermi level at 3.57 states/eV/cell. For the energy of formation, the calculation gives -1.1 eV per formula unit. The value obtained for the total magnetization is 0.00 μB/f.u. As for the symmetry: No. 216.

Cell: 5.2723 5.2723 5.2723 Å, 60.00 60.00 60.00°
With the nearest neighbours (Å) after each atom.
Sites, in units of the cell vectors:
Ho: 0.2500 0.2500 0.2500  4 Pb 3.23, 4 Li 3.23
Li: 0.0000 0.0000 0.0000  4 Ho 3.23, 4 Y 3.23
Y: 0.7500 0.7500 0.7500  4 Pb 3.23, 4 Li 3.23
Pb: 0.5000 0.5000 0.5000  4 Y 3.23, 4 Ho 3.23

=====

[9]
The following is a DFT calculation (PBE) of crystalline LiHoZnPb at its relaxed geometry.

Calculated values
Its total energy is -3.192 eV per atom. The calculation puts the density of states at the Fermi level at 1.10 states/eV/cell. For the energy of formation, the calculation gives -1.3 eV per formula unit. The value obtained for the total magnetization is 0.00 μB/f.u. As for the symmetry: No. 216.

Cell: 5.0377 5.0377 5.0377 Å, 60.00 60.00 60.00°
With the nearest neighbours (Å) after each atom.
Sites, in units of the cell vectors:
Ho: 0.5000 0.5000 0.5000  4 Zn 3.08, 4 Pb 3.08
Zn: 0.2500 0.2500 0.2500  4 Li 3.08, 4 Ho 3.08
Pb: 0.7500 0.7500 0.7500  4 Li 3.08, 4 Ho 3.08
Li: 0.0000 0.0000 0.0000  4 Pb 3.08, 4 Zn 3.08

=====

[10]
The following is a DFT calculation (PBE) of crystalline LiHo2Pd3 at its relaxed geometry.

Calculated values
Its total energy is -5.215 eV per atom. The calculation puts the density of states at the Fermi level at 5.25 states/eV/cell. For the energy of formation, the calculation gives -4.6 eV per formula unit. The value obtained for the total magnetization is 0.00 μB/f.u. The value obtained for the energy above the lowest structure with this stoichiometry is 14 meV/atom. As for the symmetry: No. 164.

Cell: 4.8186 4.8186 11.5340 Å, 90.00 90.00 120.00°
With the nearest neighbours (Å) after each atom.
Sites, in units of the cell vectors:
Pd: 0.3333 0.6667 0.9165  1 Li 2.89, 7 Ho 2.94-3.10
Pd: 0.6667 0.3333 0.0835  1 Li 2.89, 7 Ho 2.94-3.10
Pd: 0.0000 0.0000 0.2509  5 Ho 2.87-2.89, 3 Li 2.94
Pd: 0.6667 0.3333 0.5702  4 Li 2.72-2.99, 4 Ho 2.82-2.90
Pd: 0.0000 0.0000 0.7491  5 Ho 2.87-2.89, 3 Li 2.94
Pd: 0.3333 0.6667 0.4298  4 Li 2.72-2.99, 4 Ho 2.82-2.90
Ho: 0.0000 0.0000 0.0000  8 Pd 2.89-2.94
Ho: 0.0000 0.0000 0.5000  8 Pd 2.87-2.90
Ho: 0.3333 0.6667 0.1850  8 Pd 2.82-3.10
Ho: 0.6667 0.3333 0.8150  8 Pd 2.82-3.10
Li: 0.6667 0.3333 0.3342  8 Pd 2.72-2.99
Li: 0.3333 0.6667 0.6658  8 Pd 2.72-2.99

=====

[11]
The following is a DFT calculation (PBE) of crystalline LiHo4Pd3 at its relaxed geometry.

Calculated values
Its total energy is -5.140 eV per atom. The calculation puts the density of states at the Fermi level at 5.89 states/eV/cell. For the energy of formation, the calculation gives -5.3 eV per formula unit. The value obtained for the total magnetization is 0.00 μB/f.u. As for the symmetry: No. 25.

Cell: 3.7205 4.6082 10.5504 Å, 90.00 90.00 90.00°
With the nearest neighbours (Å) after each atom.
Sites, in units of the cell vectors:
Pd: 0.0000 0.0000 0.4138  7 Ho 2.88-3.01, 2 Pd 2.94
Pd: 0.5000 0.0000 0.9263  2 Li 2.77, 7 Ho 2.93-3.07
Pd: 0.0000 0.5000 0.5871  7 Ho 2.78-3.01, 2 Pd 2.94
Li: 0.5000 0.5000 0.0715  2 Pd 2.77, 6 Ho 2.98-3.05
Ho: 0.5000 0.0000 0.6383  7 Pd 3.01-3.04
Ho: 0.5000 0.5000 0.3708  6 Pd 2.94-3.00, 1 Li 3.16
Ho: 0.0000 0.5000 0.8510  5 Pd 2.78-3.07, 2 Li 2.98
Ho: 0.0000 0.0000 0.1412  3 Pd 2.88-2.93, 4 Li 3.05

=====

[12]
The following is a DFT calculation (PBE) of crystalline Li2HoPd3 at its relaxed geometry.

Calculated values
Its total energy is -4.618 eV per atom. The calculation puts the density of states at the Fermi level at 2.90 states/eV/cell. For the energy of formation, the calculation gives -3.7 eV per formula unit. The value obtained for the total magnetization is 0.00 μB/f.u. The value obtained for the energy above the lowest structure with this stoichiometry is 10 meV/atom. As for the symmetry: No. 164.

Cell: 4.4858 4.4858 5.6365 Å, 90.00 90.00 120.00°
With the nearest neighbours (Å) after each atom.
Sites, in units of the cell vectors:
Pd: 0.3333 0.6667 0.2076  4 Li 2.57-2.69, 3 Ho 2.84
Pd: 0.6667 0.3333 0.7924  4 Li 2.57-2.69, 3 Ho 2.84
Pd: 0.0000 0.0000 0.5000  6 Li 2.75, 2 Ho 2.82, 6 Pd 3.07
Li: 0.6667 0.3333 0.3361  7 Pd 2.57-2.75
Li: 0.3333 0.6667 0.6639  7 Pd 2.57-2.75
Ho: 0.0000 0.0000 0.0000  8 Pd 2.82-2.84

=====

Repeat the second record exactly.
The following is a DFT calculation (PBE) of crystalline Li2TbHo2Pb2 at its relaxed geometry.

Calculated values
Its total energy is -3.878 eV per atom. The calculation puts the density of states at the Fermi level at 4.42 states/eV/cell. For the energy of formation, the calculation gives -2.1 eV per formula unit. The value obtained for the total magnetization is 0.00 μB/f.u. As for the symmetry: No. 166.

Cell: 4.8360 4.8360 9.2972 Å, 74.93 74.93 60.00°
With the nearest neighbours (Å) after each atom.
Sites, in units of the cell vectors:
Ho: 0.8706 0.8706 0.3881  3 Li 3.18, 3 Pb 3.21, 3 Ho 3.43, 1 Tb 3.44
Ho: 0.1294 0.1294 0.6119  3 Li 3.18, 3 Pb 3.21, 3 Ho 3.43, 1 Tb 3.44
Li: 0.4056 0.4056 0.7832  3 Pb 2.79
Li: 0.5944 0.5944 0.2168  3 Pb 2.79
Tb: 0.0000 0.0000 0.0000  6 Pb 3.35, 6 Li 3.39, 2 Ho 3.44
Pb: 0.2637 0.2637 0.2089  3 Li 2.79
Pb: 0.7363 0.7363 0.7911  3 Li 2.79